[1]
Entry from OQMD via LeMat-Bulk: ErUGe after structural relaxation (PBE).

As for the calculated total energy: -6.688 eV/atom. Its energy above the lowest structure with this stoichiometry is 0.000 eV/atom. The total magnetic moment comes out at 3.544 μB/f.u. Its crystal system is cubic.

Structure (CIF):
```
data_ErUGe
_chemical_formula_sum 'Er4 U4 Ge4'
_symmetry_space_group_name_H-M 'F -4 3 m'
_symmetry_Int_Tables_number 216
_symmetry_space_group_name_Hall 'F -4 2 3'
_cell_length_a 6.8560
_cell_length_b 6.8560
_cell_length_c 6.8560
_cell_angle_alpha 90.00
_cell_angle_beta 90.00
_cell_angle_gamma 90.00
loop_
_atom_site_label
_atom_site_fract_x
_atom_site_fract_y
_atom_site_fract_z
Er1 0.0000 0.0000 0.0000
U1 0.0000 0.0000 0.5000
Ge1 0.2500 0.2500 0.2500
```



[2]
Entry from OQMD via LeMat-Bulk: ScB4Pt after structural relaxation (PBE).

As for the calculated total energy: -6.821 eV/atom. Its energy above the lowest structure with this stoichiometry is 0.131 eV/atom. The total magnetic moment comes out at 0.005 μB/f.u. Its crystal system is orthorhombic.

Structure (CIF):
```
data_ScB4Pt
_chemical_formula_sum 'Sc2 B8 Pt2'
_symmetry_space_group_name_H-M 'I m m m'
_symmetry_Int_Tables_number 71
_symmetry_space_group_name_Hall '-I 2 2'
_cell_length_a 3.1184
_cell_length_b 5.2195
_cell_length_c 7.1915
_cell_angle_alpha 90.00
_cell_angle_beta 90.00
_cell_angle_gamma 90.00
loop_
_atom_site_label
_atom_site_fract_x
_atom_site_fract_y
_atom_site_fract_z
Sc1 0.0000 0.0000 0.0000
B1 0.0000 0.3229 0.2638
Pt1 0.0000 0.0000 0.5000
```



[3]
Entry from OQMD via LeMat-Bulk: SmErNb2Si2 after structural relaxation (PBE).

As for the calculated total energy: -7.329 eV/atom. The total magnetic moment comes out at 1.120 μB/f.u. Its crystal system is tetragonal.

Structure (CIF):
```
data_SmErNb2Si2
_chemical_formula_sum 'Sm1 Er1 Nb2 Si2'
_symmetry_space_group_name_H-M 'P 4 m m'
_symmetry_Int_Tables_number 99
_symmetry_space_group_name_Hall 'P 4 -2'
_cell_length_a 4.0121
_cell_length_b 4.0121
_cell_length_c 7.8627
_cell_angle_alpha 90.00
_cell_angle_beta 90.00
_cell_angle_gamma 90.00
loop_
_atom_site_label
_atom_site_fract_x
_atom_site_fract_y
_atom_site_fract_z
Sm1 0.0000 0.0000 0.0000
Er1 0.5000 0.5000 0.7061
Nb1 0.0000 0.5000 0.3593
Si1 0.0000 0.0000 0.5965
Si2 0.5000 0.5000 0.1232
```



[4]
Entry from OQMD via LeMat-Bulk: Gd2HoMg3AgAu2 after structural relaxation (PBE).

As for the calculated total energy: -3.654 eV/atom. The total magnetic moment comes out at 0.009 μB/f.u. Its crystal system is orthorhombic.

Structure (CIF):
```
data_Gd2HoMg3AgAu2
_chemical_formula_sum 'Gd4 Ho2 Mg6 Ag2 Au4'
_symmetry_space_group_name_H-M 'A m m 2'
_symmetry_Int_Tables_number 38
_symmetry_space_group_name_Hall 'A 2 -2'
_cell_length_a 3.9935
_cell_length_b 13.4261
_cell_length_c 7.7738
_cell_angle_alpha 90.00
_cell_angle_beta 90.00
_cell_angle_gamma 90.00
loop_
_atom_site_label
_atom_site_fract_x
_atom_site_fract_y
_atom_site_fract_z
Gd1 0.0000 0.2071 0.0000
Ho1 0.0000 0.0000 0.3786
Mg1 0.5000 0.0000 0.0437
Mg2 0.5000 0.1247 0.6670
Ag1 0.0000 0.0000 0.7915
Au1 0.5000 0.1649 0.2940
```